No. 1
Density functional theory data (GGA-PBE) for a relaxed TePtNO2 crystal.

## Properties
E_form (uncorrected) = 0.79 eV per atom
Density of states at the Fermi level = 0.7907 states/eV per atom

Cell: 3.9094 3.9094 4.3025 Å, 90.00 90.00 90.00°
Space group P4/mmm (No. 123)
Inequivalent atoms, fractional coordinates:
Te  0.0000  0.0000  0.0000 [1 per cell]
Pt  0.5000  0.5000  0.5000 [1 per cell]
N  0.0000  0.0000  0.5000 [1 per cell]
O  0.0000  0.5000  0.0000 [2 per cell]

No. 2
Density functional theory data (GGA-PBE) for a relaxed TePtN2O crystal.

## Properties
E_form (uncorrected) = 1.95 eV per atom
Density of states at the Fermi level = 0.6717 states/eV per atom

Cell: 3.9290 3.9290 4.2280 Å, 90.00 90.00 90.00°
Space group P4/mmm (No. 123)
Inequivalent atoms, fractional coordinates:
Te  0.0000  0.0000  0.0000 [1 per cell]
Pt  0.5000  0.5000  0.0000 [1 per cell]
N  0.0000  0.5000  0.5000 [2 per cell]
O  0.0000  0.0000  0.5000 [1 per cell]

No. 3
Density functional theory data (GGA-PBE) for a relaxed TePtN2O crystal.

## Properties
E_form (uncorrected) = 1.44 eV per atom
Density of states at the Fermi level = 0.4857 states/eV per atom

Cell: 4.0869 4.0869 3.7862 Å, 90.00 90.00 90.00°
Space group P4/mmm (No. 123)
Inequivalent atoms, fractional coordinates:
Te  0.0000  0.0000  0.0000 [1 per cell]
Pt  0.5000  0.5000  0.5000 [1 per cell]
N  0.0000  0.5000  0.0000 [2 per cell]
O  0.0000  0.0000  0.5000 [1 per cell]

No. 4
Density functional theory data (GGA-PBE) for a relaxed TiPtNO2 crystal.

## Properties
E_form (uncorrected) = 0.18 eV per atom
Density of states at the Fermi level = 0.6795 states/eV per atom

Cell: 3.9831 3.9831 3.8570 Å, 90.00 90.00 90.00°
Space group P4/mmm (No. 123)
Inequivalent atoms, fractional coordinates:
Ti  0.0000  0.0000  0.0000 [1 per cell]
Pt  0.5000  0.5000  0.5000 [1 per cell]
N  0.5000  0.5000  0.0000 [1 per cell]
O  0.0000  0.5000  0.5000 [2 per cell]